DFT (PBE) results for a relaxed structure of Al2FeOs.

Cell and atoms, written as POSCAR:
```
Al2FeOs
1.0
2.975 0.000 0.000
0.000 2.975 0.000
0.000 0.000 5.862
Al Fe Os
2 1 1
Cartesian
0.000 0.000 1.416 Al
0.000 0.000 4.446 Al
1.487 1.487 0.000 Fe
1.487 1.487 2.931 Os
```

Output
Density of states at the Fermi level   1.02 states/eV/atom
Energy relative to the elements   -335 meV per atom
E_tot   -0.5240 Ry/atom
Volume   51.87 Å³ per cell

***

DFT (PBE) results for a relaxed structure of AlFe2Os.

Cell and atoms, written as POSCAR:
```
AlFe2Os
1.0
1.333 0.769 8.338
-1.333 0.769 8.338
0.000 -1.539 8.338
Al Fe Os
1 2 1
Cartesian
0.000 0.000 0.000 Al
0.000 0.000 6.278 Fe
0.000 0.000 18.736 Fe
0.000 0.000 12.507 Os
```

Output
Density of states at the Fermi level   0.77 states/eV/atom
Energy relative to the elements   1 meV per atom
E_tot   -0.5860 Ry/atom
Volume   51.30 Å³ per cell

***

DFT (PBE) results for a relaxed structure of AlFe2Os.

Cell and atoms, written as POSCAR:
```
AlFe2Os
1.0
2.604 0.000 0.000
0.000 4.095 0.000
-0.936 0.000 4.840
Al Fe Os
1 2 1
Cartesian
0.000 0.000 0.000 Al
1.026 0.000 2.329 Fe
1.689 2.048 1.194 Fe
0.127 2.048 3.574 Os
```

Output
Density of states at the Fermi level   0.78 states/eV/atom
Energy relative to the elements   -53 meV per atom
E_tot   -0.5900 Ry/atom
Volume   51.62 Å³ per cell

***

DFT (PBE) results for a relaxed structure of Al2FeOs.

Cell and atoms, written as POSCAR:
```
Al2FeOs
1.0
2.716 0.000 0.000
0.000 2.716 0.000
0.000 0.000 7.557
Al Fe Os
2 1 1
Cartesian
0.000 0.000 0.000 Al
1.358 1.358 2.359 Al
0.000 0.000 4.056 Fe
1.358 1.358 5.657 Os
```

Output
Density of states at the Fermi level   0.47 states/eV/atom
Energy relative to the elements   -127 meV per atom
E_tot   -0.5087 Ry/atom
Volume   55.73 Å³ per cell

***

DFT (PBE) results for a relaxed structure of AlFe4Os.

Cell and atoms, written as POSCAR:
```
AlFe4Os
1.0
0.000 3.333 3.333
3.333 0.000 3.333
3.333 3.333 0.000
Al Fe Os
1 4 1
Cartesian
0.000 0.000 0.000 Al
4.162 2.505 2.505 Fe
2.505 4.162 2.505 Fe
2.505 2.505 4.162 Fe
4.162 4.162 4.162 Fe
1.667 1.667 1.667 Os
```

Output
Density of states at the Fermi level   0.88 states/eV/atom
Energy relative to the elements   14 meV per atom
E_tot   -0.5971 Ry/atom
Volume   74.07 Å³ per cell

***

DFT (PBE) results for a relaxed structure of AlFeOs.

Cell and atoms, written as POSCAR:
```
AlFeOs
1.0
0.000 2.791 2.791
2.791 0.000 2.791
2.791 2.791 0.000
Al Fe Os
1 1 1
Cartesian
0.000 0.000 0.000 Al
1.396 1.396 1.396 Fe
2.791 2.791 2.791 Os
```

Output
Density of states at the Fermi level   0.87 states/eV/atom
Energy relative to the elements   30 meV per atom
E_tot   -0.5719 Ry/atom
Volume   43.50 Å³ per cell
Polymorph energy (0 for the lowest one)   0.2156 eV/atom

***

DFT (PBE) results for a relaxed structure of AlFe2Os.

Cell and atoms, written as POSCAR:
```
AlFe2Os
1.0
-1.471 2.050 4.212
1.471 -2.050 4.212
1.471 2.050 -4.212
Al Fe Os
1 2 1
Cartesian
0.000 0.000 0.000 Al
1.471 0.000 2.118 Fe
0.000 2.050 2.094 Fe
0.000 0.000 4.212 Os
```

Output
Density of states at the Fermi level   1.03 states/eV/atom
Energy relative to the elements   -111 meV per atom
E_tot   -0.5942 Ry/atom
Volume   50.83 Å³ per cell

***

DFT (PBE) results for a relaxed structure of AlFe2Os.

Cell and atoms, written as POSCAR:
```
AlFe2Os
1.0
-3.367 3.367 2.510
3.367 -3.367 2.510
3.367 3.367 -2.510
Al Fe Os
2 4 2
Cartesian
0.000 0.000 0.000 Al
0.000 3.367 1.255 Al
1.683 -1.603 1.883 Fe
1.764 1.683 0.628 Fe
1.683 4.970 -0.628 Fe
1.603 1.683 3.138 Fe
3.367 0.000 1.255 Os
0.000 0.000 2.510 Os
```

Output
Density of states at the Fermi level   0.87 states/eV/atom
Energy relative to the elements   504 meV per atom
E_tot   -0.5491 Ry/atom
Volume   113.82 Å³ per cell

***

DFT (PBE) results for a relaxed structure of AlFe2Os.

Cell and atoms, written as POSCAR:
```
AlFe2Os
1.0
1.454 -2.216 0.000
1.454 2.216 0.000
0.000 0.000 8.192
Al Fe Os
1 2 1
Cartesian
0.000 0.000 0.000 Al
0.000 0.000 4.257 Fe
1.454 0.000 6.195 Fe
1.454 0.000 2.134 Os
```

Output
Density of states at the Fermi level   0.77 states/eV/atom
Energy relative to the elements   42 meV per atom
E_tot   -0.5830 Ry/atom
Volume   52.81 Å³ per cell

***

DFT (PBE) results for a relaxed structure of AlFe2Os.

Cell and atoms, written as POSCAR:
```
AlFe2Os
1.0
2.644 0.000 0.000
0.000 3.764 0.000
-0.040 0.000 5.083
Al Fe Os
1 2 1
Cartesian
0.000 0.000 0.000 Al
1.311 1.882 1.270 Fe
1.292 1.882 3.813 Fe
-0.020 0.000 2.541 Os
```

Output
Density of states at the Fermi level   0.98 states/eV/atom
Energy relative to the elements   -65 meV per atom
E_tot   -0.5909 Ry/atom
Volume   50.58 Å³ per cell

***

DFT (PBE) results for a relaxed structure of AlFeOs.

Cell and atoms, written as POSCAR:
```
AlFeOs
1.0
2.718 0.000 0.000
-1.359 2.354 0.000
0.000 0.000 6.227
Al Fe Os
1 1 1
Cartesian
0.000 0.000 0.000 Al
1.359 0.785 2.019 Fe
0.000 1.569 4.005 Os
```

Output
Density of states at the Fermi level   0.72 states/eV/atom
Energy relative to the elements   -78 meV per atom
E_tot   -0.5799 Ry/atom
Volume   39.85 Å³ per cell
Polymorph energy (0 for the lowest one)   0.1074 eV/atom

***

DFT (PBE) results for a relaxed structure of AlFeOs.

Cell and atoms, written as POSCAR:
```
AlFeOs
1.0
0.000 2.243 6.224
1.461 0.000 6.224
1.461 2.243 0.000
Al Fe Os
1 1 1
Cartesian
0.000 0.000 0.000 Al
1.461 2.243 4.217 Fe
1.461 2.243 8.346 Os
```

Output
Density of states at the Fermi level   0.94 states/eV/atom
Energy relative to the elements   45 meV per atom
E_tot   -0.5709 Ry/atom
Volume   40.79 Å³ per cell
Polymorph energy (0 for the lowest one)   0.2303 eV/atom

***

DFT (PBE) results for a relaxed structure of AlFeOs.

Cell and atoms, written as POSCAR:
```
AlFeOs
1.0
-1.397 1.397 4.975
1.397 -1.397 4.975
1.397 1.397 -4.975
Al Fe Os
1 1 1
Cartesian
0.000 0.000 0.000 Al
0.000 0.000 3.361 Fe
0.000 0.000 6.764 Os
```

Output
Density of states at the Fermi level   0.65 states/eV/atom
Energy relative to the elements   -186 meV per atom
E_tot   -0.5878 Ry/atom
Volume   38.82 Å³ per cell
Polymorph energy (0 for the lowest one)   0.0000 eV/atom

***

DFT (PBE) results for a relaxed structure of Al2FeOs.

Cell and atoms, written as POSCAR:
```
Al2FeOs
1.0
0.000 3.003 3.003
3.003 0.000 3.003
3.003 3.003 0.000
Al Fe Os
2 1 1
Cartesian
0.000 0.000 0.000 Al
1.501 1.501 1.501 Al
4.504 4.504 4.504 Fe
3.003 3.003 3.003 Os
```

Output
Density of states at the Fermi level   0.65 states/eV/atom
Energy relative to the elements   -143 meV per atom
E_tot   -0.5099 Ry/atom
Volume   54.15 Å³ per cell

***

DFT (PBE) results for a relaxed structure of AlFe2Os.

Cell and atoms, written as POSCAR:
```
AlFe2Os
1.0
-1.829 1.829 3.747
1.829 -1.829 3.747
1.829 1.829 -3.747
Al Fe Os
1 2 1
Cartesian
0.000 0.000 0.000 Al
1.829 0.000 1.873 Fe
0.000 1.829 1.873 Fe
0.000 0.000 3.747 Os
```

Output
Density of states at the Fermi level   1.03 states/eV/atom
Energy relative to the elements   -39 meV per atom
E_tot   -0.5890 Ry/atom
Volume   50.15 Å³ per cell

***

DFT (PBE) results for a relaxed structure of Al2FeOs.

Cell and atoms, written as POSCAR:
```
Al2FeOs
1.0
-1.475 2.068 4.377
1.475 -2.068 4.377
1.475 2.068 -4.377
Al Fe Os
2 1 1
Cartesian
0.000 0.000 0.000 Al
0.000 2.068 1.968 Al
1.475 0.000 2.060 Fe
0.000 0.000 4.125 Os
```

Output
Density of states at the Fermi level   0.72 states/eV/atom
Energy relative to the elements   -283 meV per atom
E_tot   -0.5202 Ry/atom
Volume   53.41 Å³ per cell

***

DFT (PBE) results for a relaxed structure of AlFe2Os.

Cell and atoms, written as POSCAR:
```
AlFe2Os
1.0
2.929 0.000 0.000
0.000 2.929 0.000
0.000 0.000 5.858
Al Fe Os
1 2 1
Cartesian
0.000 0.000 0.000 Al
0.000 0.000 2.735 Fe
1.464 1.464 1.441 Fe
1.464 1.464 4.227 Os
```

Output
Density of states at the Fermi level   1.12 states/eV/atom
Energy relative to the elements   -122 meV per atom
E_tot   -0.5951 Ry/atom
Volume   50.24 Å³ per cell

***

DFT (PBE) results for a relaxed structure of AlFe2Os.

Cell and atoms, written as POSCAR:
```
AlFe2Os
1.0
2.570 -3.777 0.000
2.570 3.777 0.000
0.000 0.000 2.639
Al Fe Os
1 2 1
Cartesian
0.000 0.000 0.000 Al
1.285 1.889 1.319 Fe
1.285 -1.889 1.319 Fe
2.570 0.000 0.000 Os
```

Output
Density of states at the Fermi level   1.01 states/eV/atom
Energy relative to the elements   -58 meV per atom
E_tot   -0.5904 Ry/atom
Volume   51.23 Å³ per cell

***

DFT (PBE) results for a relaxed structure of AlFeOs.

Cell and atoms, written as POSCAR:
```
AlFeOs
1.0
-1.366 1.801 3.934
1.366 -1.801 3.934
1.366 1.801 -3.934
Al Fe Os
1 1 1
Cartesian
0.000 0.000 0.000 Al
0.000 0.000 5.247 Fe
0.000 0.000 2.572 Os
```

Output
Density of states at the Fermi level   0.99 states/eV/atom
Energy relative to the elements   -71 meV per atom
E_tot   -0.5793 Ry/atom
Volume   38.70 Å³ per cell
Polymorph energy (0 for the lowest one)   0.1149 eV/atom

***

DFT (PBE) results for a relaxed structure of Al2FeOs.

Cell and atoms, written as POSCAR:
```
Al2FeOs
1.0
1.453 -2.292 0.000
1.453 2.292 0.000
0.000 0.000 8.541
Al Fe Os
2 1 1
Cartesian
0.000 0.000 0.000 Al
1.453 0.000 2.339 Al
0.000 0.000 4.343 Fe
1.453 0.000 6.443 Os
```

Output
Density of states at the Fermi level   0.85 states/eV/atom
Energy relative to the elements   109 meV per atom
E_tot   -0.4913 Ry/atom
Volume   56.89 Å³ per cell